# 1
# TaOsRh

A relaxed structure of TaOsRh (PBE-GGA, the Alexandria database).

Cell lengths 6.3069, 6.3039, 2.7852 Å; angles 77.30, 77.18, 25.52 degrees
Last column: nearest neighbours and their distance in Å.
Atoms (fractional coordinates):
Ta 0.6669 0.6669 0.3331  4 Ta 2.79, 4 Rh 2.84-2.85, 4 Os 2.84-2.85
Os 0.9952 0.9952 0.0048  4 Rh 2.72-2.73, 4 Os 2.79, 4 Ta 2.84-2.85
Rh 0.3379 0.3379 0.6621  4 Os 2.72-2.73, 4 Rh 2.79, 4 Ta 2.84-2.85

* E_tot: -10.255 eV per atom
* M_tot: 0.0 μB/f.u.

# 2
# TbTaOsRh

A relaxed structure of TbTaOsRh (PBE-GGA, the Alexandria database).

Cell lengths 4.6605, 4.6605, 4.6605 Å; angles 60.00, 60.00, 60.00 degrees
Last column: nearest neighbours and their distance in Å.
Atoms (fractional coordinates):
Tb 0.5000 0.5000 0.5000  4 Rh 2.85, 4 Os 2.85
Os 0.2500 0.2500 0.2500  4 Tb 2.85, 4 Ta 2.85
Rh 0.7500 0.7500 0.7500  4 Ta 2.85, 4 Tb 2.85
Ta 0.0000 0.0000 0.0000  4 Os 2.85, 4 Rh 2.85

* E_tot: -9.086 eV per atom
* M_tot: 0.0 μB/f.u.

# 3
# TaTi2OsRh

A relaxed structure of TaTi2OsRh (PBE-GGA, the Alexandria database).

Cell lengths 4.4858, 4.8765, 4.4858 Å; angles 90.00, 90.00, 90.00 degrees
Last column: nearest neighbours and their distance in Å.
Atoms (fractional coordinates):
Rh 0.0000 0.0000 0.0000  4 Ti 2.24, 2 Ta 2.44
Ti 0.0000 0.0000 0.5000  2 Rh 2.24
Ti 0.5000 0.0000 0.0000  2 Rh 2.24
Os 0.5000 0.5000 0.5000  4 Ta 3.17, 8 Ti 3.31
Ta 0.0000 0.5000 0.0000  2 Rh 2.44

* E_tot: -8.290 eV per atom
* M_tot: 0.0 μB/f.u.

# 4
# TaTiOs2Rh

A relaxed structure of TaTiOs2Rh (PBE-GGA, the Alexandria database).

Cell lengths 4.4546, 4.6367, 4.4546 Å; angles 90.00, 90.00, 90.00 degrees
Last column: nearest neighbours and their distance in Å.
Atoms (fractional coordinates):
Rh 0.5000 0.5000 0.5000  4 Ta 3.15, 8 Os 3.21
Ti 0.0000 0.0000 0.0000  4 Os 2.23, 2 Ta 2.32
Os 0.0000 0.0000 0.5000  2 Ti 2.23
Os 0.5000 0.0000 0.0000  2 Ti 2.23
Ta 0.0000 0.5000 0.0000  2 Ti 2.32

* E_tot: -8.359 eV per atom
* M_tot: 0.0 μB/f.u.

# 5
# TmTaOsRh

A relaxed structure of TmTaOsRh (PBE-GGA, the Alexandria database).

Cell lengths 4.6204, 4.6204, 4.6204 Å; angles 60.00, 60.00, 60.00 degrees
Last column: nearest neighbours and their distance in Å.
Atoms (fractional coordinates):
Rh 0.7500 0.7500 0.7500  4 Ta 2.83, 4 Tm 2.83
Tm 0.0000 0.0000 0.0000  4 Rh 2.83, 4 Os 2.83
Os 0.2500 0.2500 0.2500  4 Tm 2.83, 4 Ta 2.83
Ta 0.5000 0.5000 0.5000  4 Os 2.83, 4 Rh 2.83

* E_tot: -9.168 eV per atom
* M_tot: 0.0 μB/f.u.

# 6
# TbOsRh

A relaxed structure of TbOsRh (PBE-GGA, the Alexandria database).

Cell lengths 4.8090, 3.4000, 9.4787 Å; angles 90.00, 90.00, 135.01 degrees
Last column: nearest neighbours and their distance in Å.
Atoms (fractional coordinates):
Os 0.6945 0.3889 0.0000  8 Tb 2.93
Os 0.1944 0.3888 0.5000  8 Rh 2.73
Rh 0.6944 0.3889 0.3640  1 Rh 2.58, 4 Os 2.73
Rh 0.6944 0.3889 0.6360  1 Rh 2.58, 4 Os 2.73
Tb 0.1944 0.3889 0.8226  5 Os 2.93-3.06, 4 Rh 2.98
Tb 0.1944 0.3889 0.1774  5 Os 2.93-3.06, 4 Rh 2.98

* E_tot: -7.760 eV per atom
* M_tot: 0.5 μB/f.u.

# 7
# Tb2OsRh

A relaxed structure of Tb2OsRh (PBE-GGA, the Alexandria database).

Cell lengths 3.4293, 3.4293, 6.8514 Å; angles 90.00, 90.00, 90.00 degrees
Last column: nearest neighbours and their distance in Å.
Atoms (fractional coordinates):
Tb 0.0000 0.0000 0.7540  4 Os 2.95, 4 Rh 2.98
Tb 0.0000 0.0000 0.2460  4 Os 2.95, 4 Rh 2.98
Os 0.5000 0.5000 0.0000  8 Tb 2.95
Rh 0.5000 0.5000 0.5000  8 Tb 2.98

* E_tot: -7.431 eV per atom
* M_tot: 0.0 μB/f.u.

# 8
# Tb4OsRh3

A relaxed structure of Tb4OsRh3 (PBE-GGA, the Alexandria database).

Cell lengths 3.4510, 3.4510, 13.6229 Å; angles 90.00, 90.00, 90.00 degrees
Last column: nearest neighbours and their distance in Å.
Atoms (fractional coordinates):
Os 0.5000 0.5000 0.0000  8 Tb 2.96
Tb 0.0000 0.0000 0.8772  4 Os 2.96, 4 Rh 3.03
Tb 0.0000 0.0000 0.1228  4 Os 2.96, 4 Rh 3.03
Tb 0.0000 0.0000 0.3749  8 Rh 2.94-2.98
Tb 0.0000 0.0000 0.6251  8 Rh 2.94-2.98
Rh 0.5000 0.5000 0.2544  8 Tb 2.94-3.03
Rh 0.5000 0.5000 0.5000  8 Tb 2.98
Rh 0.5000 0.5000 0.7456  8 Tb 2.94-3.03

* E_tot: -7.131 eV per atom
* M_tot: 0.0 μB/f.u.

# 9
# Tb8Os2Rh

A relaxed structure of Tb8Os2Rh (PBE-GGA, the Alexandria database).

Cell lengths 5.8148, 7.5928, 7.5928 Å; angles 112.76, 100.33, 100.33 degrees
Last column: nearest neighbours and their distance in Å.
Atoms (fractional coordinates):
Tb 0.6004 0.3391 0.0792  2 Os 2.80-2.82
Tb 0.6004 0.0792 0.3391  2 Os 2.80-2.82
Tb 0.1948 0.3655 0.3655  1 Rh 2.89, 2 Os 2.99
Tb 0.0004 0.2178 0.7889  1 Rh 2.71
Tb 0.0004 0.7889 0.2178  1 Rh 2.71
Tb 0.8051 0.6401 0.6401  1 Rh 2.89, 2 Os 2.99
Tb 0.4003 0.9272 0.6677  2 Os 2.80-2.83
Tb 0.4003 0.6677 0.9272  2 Os 2.80-2.83
Os 0.4996 0.6935 0.3124  6 Tb 2.80-2.99
Os 0.4996 0.3124 0.6935  6 Tb 2.80-2.99
Rh 0.9982 0.0027 0.0027  4 Tb 2.71-2.89

* E_tot: -6.320 eV per atom
* M_tot: 0.0 μB/f.u.

# 10
# Tb8Os2Rh

A relaxed structure of Tb8Os2Rh (PBE-GGA, the Alexandria database).

Cell lengths 4.7566, 6.9867, 9.1415 Å; angles 105.89, 105.08, 90.00 degrees
Last column: nearest neighbours and their distance in Å.
Atoms (fractional coordinates):
Tb 0.4012 0.5324 0.8023  2 Os 3.04, 1 Rh 3.24, 4 Tb 3.34-3.40
Tb 0.6690 0.9653 0.3380  3 Os 2.93-3.06, 1 Rh 3.06
Tb 0.7940 0.6857 0.5881  3 Os 2.84-3.08
Tb 0.9700 0.2107 0.9400  2 Rh 2.92, 1 Os 2.97
Tb 0.2060 0.3143 0.4119  3 Os 2.84-3.08
Tb 0.3310 0.0347 0.6620  3 Os 2.93-3.06, 1 Rh 3.06
Tb 0.5988 0.4676 0.1977  2 Os 3.04, 1 Rh 3.24, 4 Tb 3.34-3.40
Tb 0.0300 0.7893 0.0600  2 Rh 2.92, 1 Os 2.97
Os 0.8147 0.2968 0.6295  9 Tb 2.84-3.08
Os 0.1853 0.7032 0.3705  9 Tb 2.84-3.08
Rh 0.5000 0.0000 0.0000  8 Tb 2.92-3.24

* E_tot: -6.367 eV per atom
* M_tot: 0.0 μB/f.u.

# 11
# TbTmOsRh

A relaxed structure of TbTmOsRh (PBE-GGA, the Alexandria database).

Cell lengths 4.8083, 4.8083, 4.8083 Å; angles 60.00, 60.00, 60.00 degrees
Last column: nearest neighbours and their distance in Å.
Atoms (fractional coordinates):
Tb 0.7500 0.7500 0.7500  4 Rh 2.94, 4 Os 2.94
Tm 0.2500 0.2500 0.2500  4 Os 2.94, 4 Rh 2.94
Os 0.0000 0.0000 0.0000  4 Tb 2.94, 4 Tm 2.94
Rh 0.5000 0.5000 0.5000  4 Tb 2.94, 4 Tm 2.94

* E_tot: -7.428 eV per atom
* M_tot: 0.0 μB/f.u.

# 12
# TcOs2Rh

A relaxed structure of TcOs2Rh (PBE-GGA, the Alexandria database).

Cell lengths 3.8569, 3.8569, 3.8475 Å; angles 90.00, 90.00, 90.00 degrees
Last column: nearest neighbours and their distance in Å.
Atoms (fractional coordinates):
Os 0.0000 0.0000 0.0000  4 Tc 2.72, 4 Rh 2.72, 4 Os 2.73
Os 0.5000 0.5000 0.0000  4 Tc 2.72, 4 Rh 2.72, 4 Os 2.73
Rh 0.5000 0.0000 0.5000  8 Os 2.72, 4 Tc 2.73
Tc 0.0000 0.5000 0.5000  8 Os 2.72, 4 Rh 2.73

* E_tot: -10.003 eV per atom
* M_tot: 0.0 μB/f.u.

Question: Among the records above, which one has the highest E_tot?
Answer: number 9

Question: M_tot of number 4 (TaTiOs2Rh)?
Answer: 0.0 μB/f.u.